Entry a
A relaxed Pm4Nd5Al crystal, computed with PBE-GGA.

```
10
Lattice="4.2259 0.0000 0.0000 0.0000 4.2259 0.0000 0.0000 0.0000 18.3649" Properties=species:S:1:pos:R:3 pbc="T T T"
Pm 0.0000 0.0000 1.8834
Pm 0.0000 0.0000 5.6625
Pm 0.0000 0.0000 12.7023
Pm 0.0000 0.0000 16.4814
Nd 2.1129 2.1129 0.0000
Nd 2.1129 2.1129 3.7958
Nd 2.1129 2.1129 7.6212
Nd 2.1129 2.1129 10.7437
Nd 2.1129 2.1129 14.5691
Al 0.0000 0.0000 9.1824
```


Entry b
A relaxed Pm4Nd5Al crystal, computed with PBE-GGA.

```
10
Lattice="-5.3743 5.3743 2.9679 5.3743 -5.3743 2.9679 5.3743 5.3743 -2.9679" Properties=species:S:1:pos:R:3 pbc="T T T"
Pm 3.3558 0.0000 0.0000
Pm 7.3927 0.0000 0.0000
Pm 0.0000 3.3558 0.0000
Pm 0.0000 7.3927 0.0000
Nd 3.3970 3.3970 -0.0479
Nd 1.9773 -1.9773 2.9200
Nd -1.9773 1.9773 2.9200
Nd 1.9773 1.9773 2.9200
Nd 0.0000 0.0000 4.7739
Al 0.0000 0.0000 1.6724
```


Result of the stability comparison: entry a is the most stable of them.


Entry a
A relaxed Pm2NdAl6 crystal, computed with PBE-GGA.

```
9
Lattice="-2.2407 3.6660 6.7987 2.2407 -3.6660 6.7987 2.2407 3.6660 -6.7987" Properties=species:S:1:pos:R:3 pbc="T T T"
Pm 0.0000 0.0000 1.7040
Pm 0.0000 0.0000 11.8934
Nd 0.0000 3.6660 0.0000
Al 2.2407 2.2594 -2.4842
Al 2.2407 1.3607 0.0000
Al 2.2407 2.2594 2.4842
Al 0.0000 1.4066 4.3145
Al 0.0000 2.3053 6.7987
Al 0.0000 1.4066 9.2829
```


Entry b
A relaxed Pm2NdAl6 crystal, computed with PBE-GGA.

```
9
Lattice="7.9682 0.0000 0.0000 -3.9841 6.9007 0.0000 0.0000 0.0000 3.6941" Properties=species:S:1:pos:R:3 pbc="T T T"
Pm 0.0000 4.6005 0.0000
Pm 3.9841 2.3002 0.0000
Nd 0.0000 0.0000 0.0000
Al -1.3297 2.3031 1.8470
Al -2.6544 4.5975 1.8470
Al 2.6594 0.0000 1.8470
Al 1.3297 2.3031 1.8470
Al 5.3088 0.0000 1.8470
Al 2.6544 4.5975 1.8470
```


Result of the stability comparison: entry b is the most stable of them.


Entry a
A relaxed PmNdAl crystal, computed with PBE-GGA.

```
3
Lattice="-1.7614 1.7614 7.0181 1.7614 -1.7614 7.0181 1.7614 1.7614 -7.0181" Properties=species:S:1:pos:R:3 pbc="T T T"
Pm 0.0000 0.0000 0.0000
Nd 0.0000 0.0000 9.9493
Al 0.0000 0.0000 4.9936
```


Entry b
A relaxed PmNdAl crystal, computed with PBE-GGA.

```
3
Lattice="5.1569 0.0000 0.0000 -2.5785 4.4660 0.0000 0.0000 0.0000 3.7083" Properties=species:S:1:pos:R:3 pbc="T T T"
Pm 0.0000 0.0000 0.0000
Nd 2.5785 1.4887 2.1633
Al 0.0000 2.9773 1.0543
```


Result of the stability comparison: entry a is the most stable of them.


Entry a
A relaxed Pm4NdAl2 crystal, computed with PBE-GGA.

```
7
Lattice="-2.9147 2.9147 6.3644 2.9147 -2.9147 6.3644 2.9147 2.9147 -6.3644" Properties=species:S:1:pos:R:3 pbc="T T T"
Pm 2.9147 0.0000 0.0000
Pm 2.9147 0.0000 3.1822
Pm 0.0000 2.9147 0.0000
Pm 0.0000 2.9147 3.1822
Nd 0.0000 0.0000 0.0000
Al 0.0000 0.0000 4.9322
Al 0.0000 0.0000 7.7965
```


Entry b
A relaxed Pm4NdAl2 crystal, computed with PBE-GGA.

```
7
Lattice="0.0000 5.2931 5.8741 3.4948 0.0000 5.8741 3.4948 5.2931 0.0000" Properties=species:S:1:pos:R:3 pbc="T T T"
Pm 3.4948 1.7176 5.8741
Pm 1.7474 2.6466 2.9370
Pm 5.2422 7.9397 8.8111
Pm 3.4948 8.8686 5.8741
Nd 3.4948 5.2931 5.8741
Al 3.4948 5.2931 2.6915
Al 3.4948 5.2931 9.0567
```


Result of the stability comparison: entry b is the most stable of them.


Entry a
A relaxed PmNd4Al2 crystal, computed with PBE-GGA.

```
14
Lattice="5.4128 0.0000 0.0000 0.0000 12.2521 0.0000 -0.0019 0.0000 6.3582" Properties=species:S:1:pos:R:3 pbc="T T T"
Pm 0.0000 0.0000 0.0000
Pm -0.0009 6.1260 3.1791
Nd 0.0064 1.8476 3.2007
Nd 0.0074 4.2784 0.0215
Nd 2.6992 8.2235 2.2763
Nd 2.6982 10.1546 5.4554
Nd 2.7127 2.0974 0.9029
Nd 2.7117 4.0286 4.0820
Nd 5.4036 7.9737 6.3367
Nd 5.4045 10.4045 3.1576
Al 2.6968 6.8755 5.2194
Al 2.6978 11.5026 2.0402
Al 2.7131 0.7494 4.3180
Al 2.7141 5.3766 1.1389
```


Entry b
A relaxed PmNd4Al2 crystal, computed with PBE-GGA.

```
7
Lattice="2.5870 1.4936 10.3082 -2.5870 1.4936 10.3082 0.0000 -2.9872 10.3082" Properties=species:S:1:pos:R:3 pbc="T T T"
Pm 0.0000 0.0000 0.0000
Nd 0.0000 0.0000 6.2597
Nd 0.0000 0.0000 12.2722
Nd 0.0000 0.0000 18.6523
Nd 0.0000 0.0000 24.6649
Al 0.0000 0.0000 3.0706
Al 0.0000 0.0000 27.8540
```


Result of the stability comparison: entry a is the most stable of them.


Entry a
A relaxed PmNdSmAl crystal, computed with PBE-GGA.

```
4
Lattice="4.8619 0.0000 0.0000 0.0000 4.8722 0.0000 0.0000 0.0000 4.8765" Properties=species:S:1:pos:R:3 pbc="T T T"
Pm 0.0000 0.0000 0.0000
Nd 2.4309 2.4361 0.0000
Sm 0.0000 2.4361 2.4382
Al 2.4309 0.0000 2.4382
```


Entry b
A relaxed PmNdSmAl crystal, computed with PBE-GGA.

```
4
Lattice="0.0000 3.8786 3.8786 3.8786 0.0000 3.8786 3.8786 3.8786 0.0000" Properties=species:S:1:pos:R:3 pbc="T T T"
Pm 0.0000 0.0000 0.0000
Nd 5.8179 5.8179 5.8179
Sm 1.9393 1.9393 1.9393
Al 3.8786 3.8786 3.8786
```


Result of the stability comparison: entry a is the most stable of them.